No. 1
The following is a DFT calculation (GGA-PBE) of a relaxed CsCuAgHg2 crystal.

Lattice parameters (Å, degrees): 5.4755 5.4755 6.8409 90.00 90.00 90.00
With the nearest neighbours (Å) after each atom.
Fractional positions:
Cs 0.0000 0.0000 0.0000  2 Ag 3.42
Cu 0.5000 0.5000 0.0000  4 Cs 3.87
Ag 0.0000 0.0000 0.5000  4 Hg 2.74
Hg 0.0000 0.5000 0.5000  2 Ag 2.74
Hg 0.5000 0.0000 0.5000  2 Ag 2.74

Output
Density of states at the Fermi level in states/eV/cell: 0.9
Energy of formation from the pure elements in eV/atom: 0.365
SG: P4/mmm

No. 2
The following is a DFT calculation (GGA-PBE) of a relaxed KCl crystal.

Lattice parameters (Å, degrees): 8.6461 8.6461 8.6461 90.00 90.00 90.00
With the nearest neighbours (Å) after each atom.
Fractional positions:
K 0.0000 0.2500 0.5000  4 Cl 3.06
K 0.0000 0.7500 0.5000  4 Cl 3.06
K 0.2500 0.5000 0.0000  4 Cl 3.06
K 0.5000 0.0000 0.2500  4 Cl 3.06
K 0.5000 0.0000 0.7500  4 Cl 3.06
K 0.7500 0.5000 0.0000  4 Cl 3.06
Cl 0.0000 0.5000 0.2500  4 K 3.06
Cl 0.0000 0.5000 0.7500  4 K 3.06
Cl 0.2500 0.0000 0.5000  4 K 3.06
Cl 0.5000 0.2500 0.0000  4 K 3.06
Cl 0.5000 0.7500 0.0000  4 K 3.06
Cl 0.7500 0.0000 0.5000  4 K 3.06

Output
Density of states at the Fermi level in states/eV/cell: 0.0
ΔE_f (raw) in meV/atom: -1853
SG: Pm-3n

No. 3
The following is a DFT calculation (GGA-PBE) of a relaxed Sc4GeAsSe2 crystal.

Lattice parameters (Å, degrees): 6.7246 3.8810 6.7599 90.00 109.28 90.00
With the nearest neighbours (Å) after each atom.
Fractional positions:
Sc 0.2439 0.0000 0.2378  2 Ge 2.70, 1 As 2.72, 3 Se 2.78-2.80
Sc 0.2519 0.5000 0.7634  1 Ge 2.69, 2 As 2.71, 3 Se 2.80-2.81
Sc 0.7481 0.5000 0.2366  1 Ge 2.69, 2 As 2.71, 3 Se 2.80-2.81
Sc 0.7561 0.0000 0.7622  2 Ge 2.70, 1 As 2.72, 3 Se 2.78-2.80
Ge 0.0000 0.5000 0.0000  6 Sc 2.69-2.70
As 0.5000 0.0000 0.0000  6 Sc 2.71-2.72
Se 0.0000 0.0000 0.5000  6 Sc 2.78-2.80
Se 0.5000 0.5000 0.5000  6 Sc 2.80-2.81

Output
Density of states at the Fermi level in states/eV/cell: 1.7
ΔE_f (raw) in meV/atom: -1411
SG: P2/m

No. 4
The following is a DFT calculation (GGA-PBE) of a relaxed BaSi2Au crystal.

Lattice parameters (Å, degrees): 4.3601 4.2704 5.7045 90.00 100.58 90.00
With the nearest neighbours (Å) after each atom.
Fractional positions:
Ba 0.0000 0.0000 0.0000  2 Au 3.26, 4 Si 3.39
Si 0.2661 0.5000 0.6202  2 Si 2.47-2.66, 2 Au 2.52
Si 0.7339 0.5000 0.3798  2 Si 2.47-2.66, 2 Au 2.52
Au 0.5000 0.0000 0.5000  4 Si 2.52

Output
Density of states at the Fermi level in states/eV/cell: 1.4
ΔE_f (raw) in meV/atom: -350
SG: P2/m

No. 5
The following is a DFT calculation (GGA-PBE) of a relaxed ThScAu crystal.

Lattice parameters (Å, degrees): 4.5473 4.5473 7.3848 90.00 90.00 90.00
With the nearest neighbours (Å) after each atom.
Fractional positions:
Th 0.2500 0.2500 0.1292  1 Au 2.98
Th 0.7500 0.7500 0.8708  1 Au 2.98
Sc 0.2500 0.7500 0.5000  4 Au 2.82
Sc 0.7500 0.2500 0.5000  4 Au 2.82
Au 0.2500 0.2500 0.7256  4 Sc 2.82, 1 Th 2.98
Au 0.7500 0.7500 0.2744  4 Sc 2.82, 1 Th 2.98

Output
Density of states at the Fermi level in states/eV/cell: 6.9
Energy of formation from the pure elements in eV/atom: -0.480
SG: P4/nmm

No. 6
The following is a DFT calculation (GGA-PBE) of a relaxed Tm3Ga3Hg crystal.

Lattice parameters (Å, degrees): 5.8365 5.8365 14.0096 107.86 107.86 44.36
With the nearest neighbours (Å) after each atom.
Fractional positions:
Tm 0.0246 0.0246 0.3732  6 Ga 3.03-3.22, 3 Hg 3.14-3.19
Tm 0.1067 0.1067 0.9251  7 Ga 3.01-3.24
Tm 0.2329 0.2329 0.2168  6 Ga 2.98-3.25, 2 Hg 3.26
Tm 0.7671 0.7671 0.7832  6 Ga 2.98-3.25, 2 Hg 3.26
Tm 0.8933 0.8933 0.0749  7 Ga 3.01-3.24
Tm 0.9754 0.9754 0.6268  6 Ga 3.03-3.22, 3 Hg 3.14-3.19
Ga 0.3798 0.3798 0.4498  1 Ga 2.51, 2 Hg 2.66
Ga 0.3882 0.3882 0.9266  2 Ga 2.60-2.63
Ga 0.4857 0.4857 0.7777  1 Ga 2.63, 1 Hg 2.75
Ga 0.5143 0.5143 0.2223  1 Ga 2.63, 1 Hg 2.75
Ga 0.6118 0.6118 0.0734  2 Ga 2.60-2.63
Ga 0.6202 0.6202 0.5502  1 Ga 2.51, 2 Hg 2.66
Hg 0.2623 0.2623 0.6102  4 Ga 2.66-2.92
Hg 0.7377 0.7377 0.3898  4 Ga 2.66-2.92

Output
Density of states at the Fermi level in states/eV/cell: 9.1
Energy of formation from the pure elements in eV/atom: -0.554
SG: C2/m